CaHo2ErS4 | Alexandria via LeMat-Bulk | GGA-PBE | optimized geometry; raw total energy = -6.03 eV/atom; space group = P2/m (10); formation energy from raw total energies = -16.00 eV/f.u.; total magnetic moment = 0.00 μB/f.u.; calculated density = 6.6 g cm⁻³
1.0
6.768 0.000 0.000
0.000 3.892 0.000
-2.223 0.000 6.397
Ca Ho Er S
1 2 1 4
Direct
0.000 0.000 0.000
0.000 0.500 0.500
0.500 0.000 0.500
0.500 0.500 0.000
0.252 0.000 0.750
0.254 0.500 0.253
0.746 0.500 0.747
0.748 0.000 0.250